Computed, not measured: an optimized crystal structure of Ca4In16Ni3 at the PBE level of DFT.

Summary:
E_tot: -3.274 eV per atom
DFT formation energy: -0.267 eV per atom

CIF file:
```
data_Ca4In16Ni3
_chemical_formula_sum 'Ca4 In16 Ni3'
_symmetry_space_group_name_H-M 'P 4/m m m'
_symmetry_Int_Tables_number 123
_symmetry_space_group_name_Hall '-P 4 2'
_cell_length_a 6.6777
_cell_length_b 6.6777
_cell_length_c 12.3695
_cell_angle_alpha 90.00
_cell_angle_beta 90.00
_cell_angle_gamma 90.00
loop_
_atom_site_label
_atom_site_fract_x
_atom_site_fract_y
_atom_site_fract_z
_atom_site_occupancy
Ca1 0.0000 0.5000 0.1937 1
In1 0.0000 0.0000 0.1985 1
In2 0.2281 0.2281 0.0000 1
In3 0.2495 0.2495 0.3810 1
In4 0.5000 0.5000 0.2107 1
Ni1 0.0000 0.5000 0.5000 1
Ni2 0.5000 0.5000 0.0000 1
```